Material: NaCdNi2F6
Method: DFT, PBE+U
State: optimized geometry

Cell lengths 5.636, 5.643, 5.692 Å; angles 59.52, 59.63, 60.20 degrees
Sites, in units of the cell vectors:
F 0.324 0.804 0.663
F 0.162 0.370 0.699
F 0.844 0.688 0.208
F 0.326 0.809 0.143
F 0.725 0.211 0.256
F 0.726 0.204 0.743
Na 0.747 0.786 0.698
Ni 0.514 0.515 0.454
Ni 0.018 0.018 0.950
Cd 0.275 0.257 0.201

Values from the calculation:
crystal system: triclinic
spin magnetization: 3.97 μB per formula unit
symmetry: No. 1
E: -3.927 eV per atom